First-principles (GGA-PBE) data for crystalline LiCa at its relaxed geometry, as listed in Alexandria via LeMat-Bulk.

Results
Crystal system = tetragonal
Density of states at the Fermi level = 1.7 states/eV/f.u.
Energy above the most stable polymorph in this dataset = 0.09 eV/f.u.
ΔE_f = 0.055 eV/atom
Uncorrected energy = -1.903 eV per atom

Unit cell a=9.4710 b=9.4710 c=5.6563 alpha=90.00 beta=90.00 gamma=90.00
Space group I4/mmm (No. 139)
One atom of each set of equivalent atoms:
Li 0.1507 0.1507 0.0000 [8 per cell]
Ca 0.0000 0.2924 0.5000 [8 per cell]



First-principles (GGA-PBE) data for crystalline Pm3PbF at its relaxed geometry, as listed in Alexandria via LeMat-Bulk.

Results
Crystal system = cubic
Density of states at the Fermi level = 6.3 states/eV/f.u.
Energy above the most stable polymorph in this dataset = 0.39 eV/f.u.
Raw formation energy = -1112.5 meV/atom
Uncorrected energy = -5.079 eV per atom

Unit cell a=5.0389 b=5.0389 c=5.0389 alpha=90.00 beta=90.00 gamma=90.00
Space group Pm-3m (No. 221)
One atom of each set of equivalent atoms:
Pm 0.0000 0.0000 0.5000 [3 per cell]
Pb 0.5000 0.5000 0.5000 [1 per cell]
F 0.0000 0.0000 0.0000 [1 per cell]



First-principles (GGA-PBE) data for crystalline SnPtO3 at its relaxed geometry, as listed in Alexandria via LeMat-Bulk.

Results
Crystal system = cubic
Density of states at the Fermi level = 3.1 states/eV/f.u.
Raw formation energy = -155.2 meV/atom
Uncorrected energy = -5.139 eV per atom

Unit cell a=4.0127 b=4.0127 c=4.0127 alpha=90.00 beta=90.00 gamma=90.00
Space group Pm-3m (No. 221)
One atom of each set of equivalent atoms:
Sn 0.0000 0.0000 0.0000 [1 per cell]
Pt 0.5000 0.5000 0.5000 [1 per cell]
O 0.0000 0.0000 0.5000 [3 per cell]



First-principles (GGA-PBE) data for crystalline BaEuGa at its relaxed geometry, as listed in Alexandria via LeMat-Bulk.

Results
Crystal system = trigonal
Density of states at the Fermi level = 2.6 states/eV/f.u.
Energy above the most stable polymorph in this dataset = 0.45 eV/f.u.
ΔE_f = -0.137 eV/atom
Uncorrected energy = -5.212 eV per atom

Unit cell a=5.4612 b=5.4612 c=4.3208 alpha=90.00 beta=90.00 gamma=120.00
Space group P3m1 (No. 156)
One atom of each set of equivalent atoms:
Ba 0.0000 0.0000 0.0000 [1 per cell]
Eu 0.6667 0.3333 0.4983 [1 per cell]
Ga 0.3333 0.6667 0.5041 [1 per cell]



First-principles (GGA-PBE) data for crystalline BaPu2Au2Se6 at its relaxed geometry, as listed in Alexandria via LeMat-Bulk.

Results
Crystal system = triclinic
Density of states at the Fermi level = 18.3 states/eV/f.u.
Raw formation energy = -990.0 meV/atom
Uncorrected energy = -6.267 eV per atom

Unit cell a=7.5750 b=7.6974 c=7.8090 alpha=64.41 beta=62.29 gamma=61.03
Space group P-1 (No. 2)
One atom of each set of equivalent atoms:
Ba 0.0000 0.0000 0.0000 [1 per cell]
Pu 0.3300 0.3371 0.0007 [2 per cell]
Au 0.4665 0.6860 0.5667 [2 per cell]
Se 0.0803 0.6839 0.7703 [2 per cell]
Se 0.2866 0.5724 0.2285 [2 per cell]
Se 0.4598 0.0614 0.7722 [2 per cell]



First-principles (GGA-PBE) data for crystalline ZnSn2Pb at its relaxed geometry, as listed in Alexandria via LeMat-Bulk.

Results
Crystal system = cubic
Density of states at the Fermi level = 1.8 states/eV/f.u.
Energy above the most stable polymorph in this dataset = 0.19 eV/f.u.
ΔE_f = 0.148 eV/atom
Uncorrected energy = -3.099 eV per atom

Unit cell a=7.5019 b=7.5019 c=7.5019 alpha=90.00 beta=90.00 gamma=90.00
Space group Fm-3m (No. 225)
One atom of each set of equivalent atoms:
Zn 0.0000 0.0000 0.0000 [4 per cell]
Sn 0.2500 0.2500 0.2500 [8 per cell]
Pb 0.0000 0.0000 0.5000 [4 per cell]



no.,magnetization (Bohr magnetons per cell)
1,0.00
2,0.00
3,2.00
4,7.12
5,7.98
6,0.00